VASP calculation (GGA-PBE) on Dy6Hg5Ru after structural relaxation.

Cell lengths 5.165, 7.426, 15.409 Å; angles 90.00, 90.00, 90.00 degrees
Space group Immm (No. 71)
Asymmetric unit:
Dy 0.000 0.228 0.000 x4
Dy 0.000 0.265 0.344 x8
Hg 0.000 0.000 0.180 x4
Hg 0.000 0.000 0.500 x2
Hg 0.000 0.500 0.166 x4
Ru 0.000 0.500 0.500 x2

## Properties
**Crystal system**: orthorhombic
**Total energy**: -3.685 eV per atom
**DOS at the Fermi energy**: 0.516 states/eV/atom
**ΔE_f**: -0.4850 eV per atom



VASP calculation (GGA-PBE) on Dy5Hg4Ru after structural relaxation.

Cell lengths 3.587, 3.587, 19.008 Å; angles 90.00, 90.00, 90.00 degrees
Space group P4/mmm (No. 123)
Asymmetric unit:
Dy 0.000 0.000 0.000 x1
Dy 0.000 0.000 0.205 x2
Dy 0.000 0.000 0.415 x2
Hg 0.500 0.500 0.103 x2
Hg 0.500 0.500 0.307 x2
Ru 0.500 0.500 0.500 x1

## Properties
**Crystal system**: tetragonal
**Total energy**: -3.818 eV per atom
**DOS at the Fermi energy**: 0.798 states/eV/atom
**ΔE_f**: -0.4686 eV per atom



VASP calculation (GGA-PBE) on Dy4HgRu2 after structural relaxation.

Cell lengths 6.839, 7.516, 7.519 Å; angles 101.92, 105.90, 105.68 degrees
Space group P1 (No. 1)
Asymmetric unit:
Dy 0.000 0.000 0.000 x1
Dy 0.000 0.442 0.892 x1
Dy 0.091 0.114 0.500 x1
Dy 0.337 0.671 0.553 x1
Dy 0.497 0.008 0.316 x1
Dy 0.501 0.122 0.878 x1
Dy 0.590 0.620 0.990 x1
Dy 0.838 0.677 0.550 x1
Hg 0.391 0.377 0.230 x1
Hg 0.888 0.351 0.257 x1
Ru 0.049 0.758 0.237 x1
Ru 0.249 0.787 0.902 x1
Ru 0.551 0.357 0.635 x1
Ru 0.750 0.027 0.665 x1

## Properties
**Crystal system**: triclinic
**Total energy**: -5.644 eV per atom
**DOS at the Fermi energy**: 0.633 states/eV/atom
**ΔE_f**: -0.3212 eV per atom